! B2H3I2 | Alexandria | PBE | optimized geometry; values from VASP
&SYSTEM
  ibrav = 0, nat = 7, ntyp = 3
/
ATOMIC_SPECIES
B 10.81 B.upf
H 1.01 H.upf
I 126.90 I.upf
ATOMIC_POSITIONS angstrom
B -0.501 -0.899 3.817
B -1.654 -7.180 0.077
H 0.000 0.000 0.000
H -2.309 -3.360 1.381
H 0.153 -4.719 2.513
I -2.264 -6.315 3.108
I 0.108 -1.765 0.786
CELL_PARAMETERS angstrom
-2.967 0.728 2.156
-1.069 -10.149 -1.172
1.880 1.342 2.911
! * E_tot: -20.7 eV/cell

! Li3Hg5I12 | Alexandria | PBE | optimized geometry; values from VASP
&SYSTEM
  ibrav = 0, nat = 80, ntyp = 3
/
ATOMIC_SPECIES
Li 6.94 Li.upf
Hg 200.59 Hg.upf
I 126.90 I.upf
ATOMIC_POSITIONS angstrom
Li 9.404 4.750 1.645
Li 9.404 10.449 1.645
Li -1.343 6.649 8.227
Li 1.343 -0.950 4.936
Li 12.091 0.000 3.291
Li 1.343 7.599 3.291
Li 4.030 0.000 9.872
Li -6.717 7.599 9.872
Li 4.030 8.549 8.227
Li 6.717 0.950 4.936
Li -4.030 -2.850 11.517
Li -4.030 2.850 11.517
Hg -1.343 3.800 3.291
Hg -2.687 7.599 0.000
Hg 0.000 0.000 0.000
Hg 4.030 2.850 1.645
Hg 5.374 -3.800 6.581
Hg 5.374 7.599 0.000
Hg -4.030 8.549 4.936
Hg 6.717 -4.750 11.517
Hg 6.717 6.649 4.936
Hg 1.343 -3.800 9.872
Hg 4.030 11.399 3.291
Hg 2.687 3.800 6.581
Hg 8.060 0.000 0.000
Hg -2.687 -3.800 6.581
Hg -1.343 0.950 8.227
Hg -1.343 12.349 1.645
Hg -5.374 3.800 6.581
Hg 9.404 -0.950 8.227
Hg 1.343 4.750 11.517
Hg 6.717 3.800 9.872
I 10.647 1.689 0.534
I 0.100 5.107 5.386
I 11.969 3.458 3.715
I 6.838 2.311 1.730
I 1.957 5.763 8.914
I 11.339 7.633 2.332
I -1.222 8.745 5.444
I -4.152 12.887 1.730
I 0.730 9.436 8.914
I 7.468 7.566 2.332
I 8.161 4.181 4.852
I 8.161 13.510 0.534
I -4.644 6.801 7.116
I 3.279 5.563 1.137
I -5.474 11.017 4.852
I 2.787 -2.493 7.777
I -0.730 1.038 2.867
I 3.279 9.602 1.195
I 6.838 11.741 3.715
I -0.592 5.596 1.195
I -3.417 8.637 10.296
I 3.909 6.453 5.444
I 7.330 8.397 7.116
I 5.966 -2.037 12.025
I 1.465 1.146 7.718
I -1.957 -0.798 6.047
I -0.592 9.636 1.137
I -1.465 -4.142 9.448
I 8.790 -1.038 2.867
I 5.966 2.003 11.967
I 2.095 -2.003 11.967
I 2.587 10.092 5.386
I 6.103 6.561 10.296
I 10.847 -3.418 8.311
I 10.017 0.798 6.047
I -2.787 -5.911 12.628
I 2.095 2.037 12.025
I 4.644 -1.836 4.249
I -2.095 0.034 10.830
I -2.787 3.418 8.311
I 9.525 -5.288 11.433
I 6.596 -1.146 7.718
I -1.465 5.288 11.433
I -5.966 -0.034 10.830
I 3.417 1.836 4.249
I -6.596 4.142 9.448
I 5.273 2.493 7.777
I -5.273 5.911 12.628
CELL_PARAMETERS angstrom
16.121 0.000 0.000
-5.374 15.199 0.000
-5.374 -7.599 13.162
! * raw formation energy: -0.416 eV per atom
! * E_tot: -136.7 eV/cell

! Sm2CdGa3 | Alexandria | PBE | optimized geometry; values from VASP
&SYSTEM
  ibrav = 0, nat = 12, ntyp = 3
/
ATOMIC_SPECIES
Sm 150.36 Sm.upf
Cd 112.41 Cd.upf
Ga 69.72 Ga.upf
ATOMIC_POSITIONS angstrom
Sm -0.336 2.941 3.933
Sm 3.928 4.084 0.000
Sm 2.952 -0.221 3.933
Sm 1.304 1.356 0.000
Cd 2.616 2.720 2.622
Cd 0.000 0.000 5.245
Ga 0.935 4.337 1.284
Ga -1.681 1.617 6.582
Ga 1.681 -1.617 6.582
Ga 4.297 1.102 1.284
Ga 0.000 0.000 2.561
Ga 2.616 2.720 5.305
CELL_PARAMETERS angstrom
5.904 -0.443 0.000
-0.672 5.882 0.000
-2.616 -2.720 7.866
! * calculated formation energy: -0.557 eV/atom
! * E_tot: -45.6 eV/cell

! LiCe3Sm4Se8 | Alexandria | PBE | optimized geometry; values from VASP
&SYSTEM
  ibrav = 0, nat = 16, ntyp = 4
/
ATOMIC_SPECIES
Li 6.94 Li.upf
Ce 140.12 Ce.upf
Sm 150.36 Sm.upf
Se 78.96 Se.upf
ATOMIC_POSITIONS angstrom
Li 0.000 4.173 0.001
Ce 4.168 4.173 0.001
Ce 2.084 2.090 2.950
Ce -2.084 2.090 2.950
Sm 4.168 0.000 0.000
Sm 2.084 -2.083 2.949
Sm 0.000 0.000 0.000
Sm -2.084 -2.083 2.949
Se 2.031 6.222 0.012
Se 0.000 4.192 2.885
Se 0.000 -0.011 2.939
Se 6.305 6.222 0.012
Se -2.137 -2.041 5.887
Se 4.168 4.192 2.961
Se 4.168 -0.011 3.014
Se 2.137 -2.041 5.887
CELL_PARAMETERS angstrom
8.337 0.000 0.000
0.000 8.346 0.002
-4.168 -4.165 5.897
! * raw formation energy: -1.786 eV per atom
! * E_tot: -95.0 eV/cell

! TlGeOsO6 | Alexandria | PBE | optimized geometry; values from VASP
&SYSTEM
  ibrav = 0, nat = 9, ntyp = 4
/
ATOMIC_SPECIES
Tl 204.38 Tl.upf
Ge 72.64 Ge.upf
Os 190.23 Os.upf
O 16.00 O.upf
ATOMIC_POSITIONS angstrom
Tl 5.194 0.000 5.827
Ge 5.194 2.999 2.914
Os 2.597 1.499 2.914
O 1.061 1.806 1.821
O 2.095 0.016 4.006
O 4.132 1.806 4.006
O 1.563 2.675 4.006
O 3.631 2.676 1.821
O 3.099 0.016 1.821
CELL_PARAMETERS angstrom
5.194 0.000 0.000
2.597 4.498 0.000
0.000 0.000 5.828
! * raw formation energy: -1.105 eV per atom
! * E_tot: -57.9 eV/cell

! Hf6Ga3Ni | Alexandria | PBE | optimized geometry; values from VASP
&SYSTEM
  ibrav = 0, nat = 20, ntyp = 3
/
ATOMIC_SPECIES
Hf 178.49 Hf.upf
Ga 69.72 Ga.upf
Ni 58.69 Ni.upf
ATOMIC_POSITIONS angstrom
Hf 3.466 1.283 8.924
Hf 3.348 1.405 5.355
Hf 3.626 3.494 2.488
Hf 1.999 4.164 7.045
Hf 2.276 6.254 4.177
Hf 2.159 6.375 0.609
Hf 0.653 2.546 4.157
Hf 0.536 2.424 0.589
Hf 0.963 0.335 7.181
Hf 4.661 7.323 2.351
Hf 5.089 5.234 8.943
Hf 4.971 5.112 5.375
Ga 3.453 6.744 7.082
Ga 2.737 3.829 0.036
Ga 2.171 0.915 2.450
Ga 0.641 4.744 2.316
Ga 0.075 0.000 4.730
Ga 4.984 2.915 7.216
Ni 2.812 3.829 4.766
Ni 0.000 0.000 0.000
CELL_PARAMETERS angstrom
5.475 0.000 0.073
0.000 7.658 0.000
0.150 0.000 9.460
! * calculated formation energy: -0.223 eV/atom
! * E_tot: -153.6 eV/cell

! CuAgP | Alexandria | PBE | optimized geometry; values from VASP
&SYSTEM
  ibrav = 0, nat = 3, ntyp = 3
/
ATOMIC_SPECIES
Ag 107.87 Ag.upf
Cu 63.55 Cu.upf
P 30.97 P.upf
ATOMIC_POSITIONS angstrom
Ag 0.000 0.000 0.000
Cu -4.613 1.616 1.268
P -6.920 2.424 1.902
CELL_PARAMETERS angstrom
-2.397 3.324 0.449
-4.013 -0.212 -0.923
-2.816 0.119 3.009
! * calculated formation energy: 0.151 eV/atom
! * E_tot: -11.9 eV/cell

! CaMgPt2 | Alexandria | PBE | optimized geometry; values from VASP
&SYSTEM
  ibrav = 0, nat = 4, ntyp = 3
/
ATOMIC_SPECIES
Ca 40.08 Ca.upf
Mg 24.30 Mg.upf
Pt 195.08 Pt.upf
ATOMIC_POSITIONS angstrom
Ca 2.448 0.045 1.540
Mg -0.044 2.448 1.540
Pt 0.000 0.000 0.000
Pt 2.403 2.491 -0.002
CELL_PARAMETERS angstrom
4.895 0.088 -0.002
-0.088 4.895 -0.002
0.001 0.001 3.081
! * calculated formation energy: -0.770 eV/atom
! * E_tot: -18.8 eV/cell

! BaYF4 | Alexandria | PBE | optimized geometry; values from VASP
&SYSTEM
  ibrav = 0, nat = 12, ntyp = 3
/
ATOMIC_SPECIES
Ba 137.33 Ba.upf
Y 88.91 Y.upf
F 19.00 F.upf
ATOMIC_POSITIONS angstrom
Ba 0.741 3.397 1.631
Ba 1.450 0.013 4.087
Y -2.159 3.370 5.575
Y 4.351 0.040 0.143
F 3.484 -1.510 5.162
F 2.010 2.711 3.917
F -0.583 1.536 5.162
F -0.528 4.083 3.917
F 2.719 -0.673 1.801
F 2.775 1.874 0.556
F 0.181 0.700 1.801
F -1.292 4.920 0.556
CELL_PARAMETERS angstrom
5.801 0.053 0.000
-1.418 6.767 0.000
-2.192 -3.410 5.718
! * raw formation energy: -3.541 eV per atom
! * E_tot: -74.2 eV/cell

! YAlZn | Alexandria | PBE | optimized geometry; values from VASP
&SYSTEM
  ibrav = 0, nat = 6, ntyp = 3
/
ATOMIC_SPECIES
Y 88.91 Y.upf
Zn 65.41 Zn.upf
Al 26.98 Al.upf
ATOMIC_POSITIONS angstrom
Y -0.264 0.389 4.842
Y 1.976 3.478 1.952
Zn 1.975 0.404 2.702
Zn 1.975 2.523 4.967
Al 4.215 3.486 4.084
Al 4.215 1.351 1.802
CELL_PARAMETERS angstrom
4.478 -0.001 0.001
2.239 5.274 -0.006
-2.239 -0.357 5.262
! * calculated formation energy: -0.476 eV/atom
! * E_tot: -25.8 eV/cell

! Pb4Se3S | Alexandria | PBE | optimized geometry; values from VASP
&SYSTEM
  ibrav = 0, nat = 8, ntyp = 3
/
ATOMIC_SPECIES
Pb 207.20 Pb.upf
Se 78.96 Se.upf
S 32.06 S.upf
ATOMIC_POSITIONS angstrom
Pb 2.472 -1.579 1.156
Pb -1.740 -1.022 2.324
Pb 7.208 -4.604 3.370
Pb 3.100 -4.114 4.587
Se 0.693 -2.576 3.461
Se 0.000 0.000 0.000
Se 5.508 -5.652 5.713
S 4.840 -3.092 2.263
CELL_PARAMETERS angstrom
-0.951 1.437 3.997
-2.529 -3.482 0.651
9.680 -6.183 4.526
! * raw formation energy: -0.550 eV per atom
! * E_tot: -33.8 eV/cell

! Nd5Y5Sc | Alexandria | PBE | optimized geometry; values from VASP
&SYSTEM
  ibrav = 0, nat = 11, ntyp = 3
/
ATOMIC_SPECIES
Nd 144.24 Nd.upf
Y 88.91 Y.upf
Sc 44.96 Sc.upf
ATOMIC_POSITIONS angstrom
Nd 3.018 2.766 1.373
Nd 3.018 0.657 4.235
Nd 0.000 -1.343 3.207
Nd 0.000 6.025 2.683
Nd 0.000 3.916 5.545
Y 3.018 5.943 0.828
Y 3.018 4.522 4.098
Y 3.018 0.000 0.000
Y 0.000 2.160 2.820
Y 0.000 0.739 6.090
Sc 0.000 0.000 0.000
CELL_PARAMETERS angstrom
6.036 0.000 0.000
-3.018 9.369 0.505
0.000 -2.686 6.413
! * calculated formation energy: 0.259 eV/atom
! * E_tot: -59.6 eV/cell

! AlPPt2 | Alexandria | PBE | optimized geometry; values from VASP
&SYSTEM
  ibrav = 0, nat = 4, ntyp = 3
/
ATOMIC_SPECIES
P 30.97 P.upf
Al 26.98 Al.upf
Pt 195.08 Pt.upf
ATOMIC_POSITIONS angstrom
P -0.685 0.660 4.681
Al 0.825 -0.107 2.216
Pt 1.685 -0.220 4.528
Pt -1.596 0.779 2.233
CELL_PARAMETERS angstrom
-1.288 3.119 0.631
-2.949 -1.426 1.028
1.786 -0.233 4.799
! * calculated formation energy: -0.590 eV/atom
! * E_tot: -23.6 eV/cell

! CoAgMo2 | Alexandria | PBE | optimized geometry; values from VASP
&SYSTEM
  ibrav = 0, nat = 8, ntyp = 3
/
ATOMIC_SPECIES
Mo 95.94 Mo.upf
Co 58.93 Co.upf
Ag 107.87 Ag.upf
ATOMIC_POSITIONS angstrom
Mo 0.590 -5.070 -1.426
Mo 4.528 -2.888 -2.001
Mo 4.451 -6.339 -1.848
Mo 6.190 -10.010 -3.873
Co 2.356 -3.762 -2.281
Co 5.992 -4.672 -2.485
Ag 0.000 0.000 0.000
Ag 1.887 -7.482 -2.090
CELL_PARAMETERS angstrom
-1.750 -6.572 -1.886
6.461 -0.952 -2.676
3.168 -4.629 -0.012
! * calculated formation energy: 0.736 eV/atom
! * E_tot: -57.4 eV/cell

! KNbFe3 | Alexandria | PBE | optimized geometry; values from VASP
&SYSTEM
  ibrav = 0, nat = 5, ntyp = 3
/
ATOMIC_SPECIES
K 39.10 K.upf
Nb 92.91 Nb.upf
Fe 55.84 Fe.upf
ATOMIC_POSITIONS angstrom
K 0.000 0.000 0.000
Nb 2.106 2.106 2.106
Fe 0.000 2.106 0.000
Fe 0.000 0.000 2.106
Fe 2.106 0.000 0.000
CELL_PARAMETERS angstrom
4.213 0.000 0.000
0.000 4.213 0.000
0.000 0.000 4.213
! * calculated formation energy: 2.592 eV/atom
! * E_tot: -23.6 eV/cell

! ZrSnCl | Alexandria | PBE | optimized geometry; values from VASP
&SYSTEM
  ibrav = 0, nat = 6, ntyp = 3
/
ATOMIC_SPECIES
Zr 91.22 Zr.upf
Sn 118.71 Sn.upf
Cl 35.45 Cl.upf
ATOMIC_POSITIONS angstrom
Zr 3.275 5.279 6.038
Zr 3.275 1.835 3.241
Sn 4.912 4.442 3.456
Sn 1.637 2.672 5.823
Cl 1.637 1.398 1.318
Cl 4.912 5.715 7.961
CELL_PARAMETERS angstrom
3.275 0.000 0.000
1.637 5.585 0.228
1.637 1.528 9.051
! * raw formation energy: -0.852 eV per atom
! * E_tot: -33.9 eV/cell

! YGe | Alexandria | PBE | optimized geometry; values from VASP
&SYSTEM
  ibrav = 0, nat = 8, ntyp = 2
/
ATOMIC_SPECIES
Y 88.91 Y.upf
Ge 72.64 Ge.upf
ATOMIC_POSITIONS angstrom
Y 9.627 -0.824 1.734
Y 4.168 -2.676 1.256
Y 6.230 0.367 2.188
Y 1.726 -1.289 -1.041
Ge 1.308 -1.453 1.899
Ge 6.985 -2.510 2.246
Ge 3.413 0.201 1.199
Ge 8.135 -1.051 4.297
CELL_PARAMETERS angstrom
-0.738 -3.104 2.621
1.173 -2.713 -2.883
9.963 3.509 3.707
! * calculated formation energy: -0.874 eV/atom
! * E_tot: -51.3 eV/cell

! Er3ZnPt2 | Alexandria | PBE | optimized geometry; values from VASP
&SYSTEM
  ibrav = 0, nat = 24, ntyp = 3
/
ATOMIC_SPECIES
Er 167.26 Er.upf
Zn 65.41 Zn.upf
Pt 195.08 Pt.upf
ATOMIC_POSITIONS angstrom
Er 3.122 -2.350 2.203
Er 0.150 -5.149 12.696
Er 5.248 -6.102 8.692
Er -1.975 -1.397 6.207
Er 5.201 -3.481 5.415
Er -1.929 -4.018 9.483
Er -0.705 -3.477 3.501
Er 3.978 -4.022 11.398
Er 1.885 -2.520 5.793
Er 1.388 -4.979 9.106
Er 7.423 -6.294 5.581
Er -4.151 -1.205 9.317
Zn 0.243 -1.386 1.692
Zn 3.030 -6.113 13.207
Zn 3.144 -5.144 6.658
Zn 0.129 -2.355 8.240
Pt 3.817 -3.541 8.583
Pt -0.545 -3.958 6.316
Pt -4.299 -3.523 11.006
Pt 7.572 -3.976 3.893
Pt -1.963 -0.935 3.167
Pt 5.235 -6.564 11.732
Pt 3.042 -4.705 4.004
Pt 0.231 -2.793 10.894
CELL_PARAMETERS angstrom
-1.157 -3.765 -0.577
9.771 -3.768 4.990
-5.342 0.034 10.486
! * calculated formation energy: -0.957 eV/atom
! * E_tot: -131.1 eV/cell

! BeReBi3 | Alexandria | PBE | optimized geometry; values from VASP
&SYSTEM
  ibrav = 0, nat = 5, ntyp = 3
/
ATOMIC_SPECIES
Re 186.21 Re.upf
Bi 208.98 Bi.upf
Be 9.01 Be.upf
ATOMIC_POSITIONS angstrom
Re 0.000 0.000 0.000
Bi 1.596 -1.685 1.317
Bi -2.104 -0.943 1.343
Bi -0.382 -1.841 -1.893
Be -0.891 -4.470 0.766
CELL_PARAMETERS angstrom
-0.765 -3.683 -3.786
3.192 -3.370 2.633
-4.208 -1.887 2.686
! * calculated formation energy: 1.240 eV/atom
! * E_tot: -21.6 eV/cell

! NaCa2TeO6 | Alexandria | PBE | optimized geometry; values from VASP
&SYSTEM
  ibrav = 0, nat = 10, ntyp = 4
/
ATOMIC_SPECIES
Na 22.99 Na.upf
Ca 40.08 Ca.upf
Te 127.60 Te.upf
O 16.00 O.upf
ATOMIC_POSITIONS angstrom
Na -2.113 -1.852 9.962
Ca -1.358 -1.235 6.668
Ca 2.501 -0.662 5.035
Te -1.379 -0.608 2.960
O -1.184 0.122 4.746
O -1.929 -3.438 6.047
O -2.997 -0.360 8.123
O -0.223 -2.162 8.669
O 0.305 0.256 7.747
O 1.019 -1.873 6.356
CELL_PARAMETERS angstrom
-2.533 1.915 4.786
-2.100 -3.731 3.828
2.839 -0.667 5.216
! * raw formation energy: -1.914 eV per atom
! * E_tot: -57.3 eV/cell